# CoHO2 (GGA+U, relaxed)
# uncorrected energy	-4.89	eV/atom
# N(E_F)	1.46	states/eV per cell
data_CoHO2
_chemical_formula_sum 'Co4 H4 O8'
_cell_length_a 4.126
_cell_length_b 4.126
_cell_length_c 8.045
_cell_angle_alpha 90.00
_cell_angle_beta 90.00
_cell_angle_gamma 90.00
_symmetry_space_group_name_H-M 'I -4 2 d'
_symmetry_Int_Tables_number 122
_symmetry_space_group_name_Hall 'I -4 2bw'
loop_
_atom_site_label
_atom_site_fract_x
_atom_site_fract_y
_atom_site_fract_z
Co1 0.000 0.000 0.000
H1 0.000 0.000 0.500
O1 0.206 0.250 0.625